# 1
Computed, not measured: Y2SnGe2Rh5 after structural relaxation at the PBE level of DFT.

The structure in CIF format:
```
data_Y2SnGe2Rh5
_chemical_formula_sum 'Y4 Sn2 Ge4 Rh10'
_cell_length_a 9.799
_cell_length_b 9.799
_cell_length_c 3.656
_cell_angle_alpha 90.00
_cell_angle_beta 90.00
_cell_angle_gamma 90.00
_symmetry_space_group_name_H-M 'P 4/m b m'
_symmetry_Int_Tables_number 127
_symmetry_space_group_name_Hall '-P 4 2ab'
loop_
_atom_site_label
_atom_site_type_symbol
_atom_site_fract_x
_atom_site_fract_y
_atom_site_fract_z
Y1 Y 0.175 0.325 0.000
Sn1 Sn 0.000 0.000 0.000
Ge1 Ge 0.122 0.622 0.000
Rh1 Rh 0.000 0.500 0.500
Rh2 Rh 0.069 0.788 0.500
```

Energy relative to the elements   -0.816 eV/atom

=====

# 2
Computed, not measured: ZnSn2Ge2Rh5 after structural relaxation at the PBE level of DFT.

The structure in CIF format:
```
data_ZnSn2Ge2Rh5
_chemical_formula_sum 'Zn2 Sn4 Ge4 Rh10'
_cell_length_a 10.531
_cell_length_b 10.531
_cell_length_c 2.993
_cell_angle_alpha 90.00
_cell_angle_beta 90.00
_cell_angle_gamma 90.00
_symmetry_space_group_name_H-M 'P 4/m b m'
_symmetry_Int_Tables_number 127
_symmetry_space_group_name_Hall '-P 4 2ab'
loop_
_atom_site_label
_atom_site_type_symbol
_atom_site_fract_x
_atom_site_fract_y
_atom_site_fract_z
Zn1 Zn 0.000 0.000 0.000
Sn1 Sn 0.157 0.343 0.000
Ge1 Ge 0.143 0.643 0.000
Rh1 Rh 0.000 0.500 0.500
Rh2 Rh 0.127 0.834 0.500
```

Energy relative to the elements   -0.284 eV/atom

=====

# 3
Computed, not measured: SrGeRh2 after structural relaxation at the PBE level of DFT.

The structure in CIF format:
```
data_SrGeRh2
_chemical_formula_sum 'Sr2 Ge2 Rh4'
_cell_length_a 4.181
_cell_length_b 4.181
_cell_length_c 9.511
_cell_angle_alpha 90.00
_cell_angle_beta 90.00
_cell_angle_gamma 90.00
_symmetry_space_group_name_H-M 'P 4/n m m'
_symmetry_Int_Tables_number 129
loop_
_symmetry_equiv_pos_as_xyz
'x,y,z'
'-x,-y,-z'
'-y+1/2,x,z'
'y+1/2,-x,-z'
'-x+1/2,-y+1/2,z'
'x+1/2,y+1/2,-z'
'y,-x+1/2,z'
'-y,x+1/2,-z'
'x+1/2,-y,-z'
'-x+1/2,y,z'
'-y,-x,-z'
'y,x,z'
'-x,y+1/2,-z'
'x,-y+1/2,z'
'y+1/2,x+1/2,-z'
'-y+1/2,-x+1/2,z'
loop_
_atom_site_label
_atom_site_type_symbol
_atom_site_fract_x
_atom_site_fract_y
_atom_site_fract_z
Sr1 Sr 0.250 0.250 0.204
Ge1 Ge 0.250 0.250 0.639
Rh1 Rh 0.250 0.250 0.889
Rh2 Rh 0.250 0.750 0.500
```

Energy relative to the elements   -0.403 eV/atom

=====

# 4
Computed, not measured: Sr3Ge2Rh2 after structural relaxation at the PBE level of DFT.

The structure in CIF format:
```
data_Sr3Ge2Rh2
_chemical_formula_sum 'Sr12 Ge8 Rh8'
_cell_length_a 6.091
_cell_length_b 8.121
_cell_length_c 13.952
_cell_angle_alpha 90.00
_cell_angle_beta 90.00
_cell_angle_gamma 90.00
_symmetry_space_group_name_H-M 'P b c m'
_symmetry_Int_Tables_number 57
_symmetry_space_group_name_Hall '-P 2c 2b'
loop_
_atom_site_label
_atom_site_type_symbol
_atom_site_fract_x
_atom_site_fract_y
_atom_site_fract_z
Sr1 Sr 0.138 0.108 0.099
Sr2 Sr 0.362 0.732 0.750
Ge1 Ge 0.168 0.083 0.750
Ge2 Ge 0.403 0.750 0.000
Rh1 Rh 0.370 0.026 0.589
```

Energy relative to the elements   -0.625 eV/atom

=====

# 5
Computed, not measured: SrGe3Rh after structural relaxation at the PBE level of DFT.

The structure in CIF format:
```
data_SrGe3Rh
_chemical_formula_sum 'Sr1 Ge3 Rh1'
_cell_length_a 5.398
_cell_length_b 5.398
_cell_length_c 5.398
_cell_angle_alpha 90.00
_cell_angle_beta 90.00
_cell_angle_gamma 90.00
_symmetry_space_group_name_H-M 'P m -3 m'
_symmetry_Int_Tables_number 221
_symmetry_space_group_name_Hall '-P 4 2 3'
loop_
_atom_site_label
_atom_site_type_symbol
_atom_site_fract_x
_atom_site_fract_y
_atom_site_fract_z
Sr1 Sr 0.000 0.000 0.000
Ge1 Ge 0.000 0.000 0.500
Rh1 Rh 0.500 0.500 0.500
```

Energy relative to the elements   1.730 eV/atom

=====

# 6
Computed, not measured: SrGe2Rh after structural relaxation at the PBE level of DFT.

The structure in CIF format:
```
data_SrGe2Rh
_chemical_formula_sum 'Sr4 Ge8 Rh4'
_cell_length_a 6.780
_cell_length_b 6.780
_cell_length_c 6.780
_cell_angle_alpha 90.00
_cell_angle_beta 90.00
_cell_angle_gamma 90.00
_symmetry_space_group_name_H-M 'F m -3 m'
_symmetry_Int_Tables_number 225
_symmetry_space_group_name_Hall '-F 4 2 3'
loop_
_atom_site_label
_atom_site_type_symbol
_atom_site_fract_x
_atom_site_fract_y
_atom_site_fract_z
Sr1 Sr 0.000 0.000 0.000
Ge1 Ge 0.250 0.250 0.250
Rh1 Rh 0.000 0.000 0.500
```

Energy relative to the elements   -0.187 eV/atom

=====

# 7
Computed, not measured: Sr3GeRh after structural relaxation at the PBE level of DFT.

The structure in CIF format:
```
data_Sr3GeRh
_chemical_formula_sum 'Sr3 Ge1 Rh1'
_cell_length_a 5.671
_cell_length_b 5.671
_cell_length_c 5.671
_cell_angle_alpha 90.00
_cell_angle_beta 90.00
_cell_angle_gamma 90.00
_symmetry_space_group_name_H-M 'P m -3 m'
_symmetry_Int_Tables_number 221
_symmetry_space_group_name_Hall '-P 4 2 3'
loop_
_atom_site_label
_atom_site_type_symbol
_atom_site_fract_x
_atom_site_fract_y
_atom_site_fract_z
Sr1 Sr 0.000 0.000 0.500
Ge1 Ge 0.500 0.500 0.500
Rh1 Rh 0.000 0.000 0.000
```

Excess energy over the best structure of this formula in the dataset   0.00 eV per formula unit
Energy relative to the elements   -0.072 eV/atom

=====

# 8
Computed, not measured: SrGe2Rh after structural relaxation at the PBE level of DFT.

The structure in CIF format:
```
data_SrGe2Rh
_chemical_formula_sum 'Sr4 Ge8 Rh4'
_cell_length_a 6.176
_cell_length_b 10.968
_cell_length_c 5.924
_cell_angle_alpha 90.00
_cell_angle_beta 121.21
_cell_angle_gamma 90.00
_symmetry_space_group_name_H-M 'C 1 2/c 1'
_symmetry_Int_Tables_number 15
_symmetry_space_group_name_Hall '-C 2yc'
loop_
_atom_site_label
_atom_site_type_symbol
_atom_site_fract_x
_atom_site_fract_y
_atom_site_fract_z
Sr1 Sr 0.000 0.131 0.250
Ge1 Ge 0.234 0.361 0.084
Rh1 Rh 0.000 0.474 0.250
```

Energy relative to the elements   -0.612 eV/atom

=====

# 9
Computed, not measured: Sr3Ge9Rh2 after structural relaxation at the PBE level of DFT.

The structure in CIF format:
```
data_Sr3Ge9Rh2
_chemical_formula_sum 'Sr6 Ge18 Rh4'
_cell_length_a 4.280
_cell_length_b 11.086
_cell_length_c 12.477
_cell_angle_alpha 90.00
_cell_angle_beta 90.00
_cell_angle_gamma 90.00
_symmetry_space_group_name_H-M 'I m m m'
_symmetry_Int_Tables_number 71
_symmetry_space_group_name_Hall '-I 2 2'
loop_
_atom_site_label
_atom_site_type_symbol
_atom_site_fract_x
_atom_site_fract_y
_atom_site_fract_z
Sr1 Sr 0.000 0.000 0.000
Sr2 Sr 0.000 0.000 0.315
Ge1 Ge 0.000 0.284 0.123
Ge2 Ge 0.000 0.364 0.338
Ge3 Ge 0.000 0.500 0.000
Rh1 Rh 0.000 0.225 0.500
```

Energy relative to the elements   -0.383 eV/atom

=====

# 10
Computed, not measured: SrGeRh3 after structural relaxation at the PBE level of DFT.

The structure in CIF format:
```
data_SrGeRh3
_chemical_formula_sum 'Sr1 Ge1 Rh3'
_cell_length_a 4.666
_cell_length_b 4.666
_cell_length_c 4.666
_cell_angle_alpha 90.00
_cell_angle_beta 90.00
_cell_angle_gamma 90.00
_symmetry_space_group_name_H-M 'P m -3 m'
_symmetry_Int_Tables_number 221
_symmetry_space_group_name_Hall '-P 4 2 3'
loop_
_atom_site_label
_atom_site_type_symbol
_atom_site_fract_x
_atom_site_fract_y
_atom_site_fract_z
Sr1 Sr 0.000 0.000 0.000
Ge1 Ge 0.500 0.500 0.500
Rh1 Rh 0.000 0.500 0.500
```

Excess energy over the best structure of this formula in the dataset   0.00 eV per formula unit
Energy relative to the elements   -0.134 eV/atom

=====

# 11
Computed, not measured: SrGe3Rh after structural relaxation at the PBE level of DFT.

The structure in CIF format:
```
data_SrGe3Rh
_chemical_formula_sum 'Sr2 Ge6 Rh2'
_cell_length_a 6.2100
_cell_length_b 6.2100
_cell_length_c 6.0273
_cell_angle_alpha 90.00
_cell_angle_beta 90.00
_cell_angle_gamma 120.00
_symmetry_space_group_name_H-M 'P 63/m m c'
_symmetry_Int_Tables_number 194
_symmetry_space_group_name_Hall '-P 6c 2c'
loop_
_atom_site_label
_atom_site_type_symbol
_atom_site_fract_x
_atom_site_fract_y
_atom_site_fract_z
Sr1 Sr 0.3333 0.6667 0.2500
Ge1 Ge 0.1937 0.3873 0.7500
Rh1 Rh 0.0000 0.0000 0.0000
```

Energy relative to the elements   -0.466 eV/atom

=====

no.,E_tot (eV/f.u.),size of the total moment (μB per formula unit),mass density (g cm⁻³)
1,-71.09,0.00,9.05
2,-58.11,0.00,9.63
3,-22.61,0.00,7.31
4,-33.36,0.00,5.91
5,-14.24,0.72,4.31
6,-19.02,0.00,7.16
7,-17.38,1.00,3.99
8,-20.72,0.00,6.50
9,-66.67,0.00,6.30
10,-29.02,0.00,7.67
11,-25.22,0.00,6.74